This record from Alexandria describes a relaxed MgNi2Hg crystal. The functional is GGA-PBEsol.

```
data_MgNi2Hg
_chemical_formula_sum 'Mg1 Ni2 Hg1'
_cell_length_a 2.904
_cell_length_b 3.459
_cell_length_c 5.628
_cell_angle_alpha 90.00
_cell_angle_beta 90.00
_cell_angle_gamma 90.00
_symmetry_space_group_name_H-M 'P m m m'
_symmetry_Int_Tables_number 47
_symmetry_space_group_name_Hall '-P 2 2'
loop_
_atom_site_label
_atom_site_fract_x
_atom_site_fract_y
_atom_site_fract_z
Mg1 0.000 0.000 0.000
Ni1 0.500 0.500 0.241
Hg1 0.000 0.000 0.500
```

The total energy is -3.67 eV per atom. The density of states at the Fermi level is 0.34 states/eV per atom.